La2TeI4 after structural relaxation, computed with PBE.

Summary:
- formation energy from raw total energies (eV per atom) = -1.48

Cell lengths 13.611, 13.611, 4.231 Å; angles 90.00, 90.00, 90.00 degrees
Fractional coordinates of all 14 atoms:
La 0.126 0.126 0.000
La 0.374 0.626 0.500
La 0.626 0.374 0.500
La 0.874 0.874 0.000
Te 0.000 0.000 0.500
Te 0.500 0.500 0.000
I 0.081 0.296 0.500
I 0.204 0.581 0.000
I 0.296 0.081 0.500
I 0.419 0.796 0.000
I 0.581 0.204 0.000
I 0.704 0.919 0.500
I 0.796 0.419 0.000
I 0.919 0.704 0.500

---

La3TeI7 after structural relaxation, computed with PBE.

Summary:
- formation energy from raw total energies (eV per atom) = -1.50

Cell lengths 9.389, 9.389, 7.509 Å; angles 90.00, 90.00, 120.00 degrees
Fractional coordinates of all 11 atoms:
La 0.010 0.505 0.000
La 0.495 0.505 0.000
La 0.495 0.990 0.000
Te 0.333 0.667 0.774
I 0.173 0.345 0.242
I 0.173 0.827 0.242
I 0.347 0.173 0.774
I 0.655 0.827 0.242
I 0.667 0.333 0.248
I 0.827 0.173 0.774
I 0.827 0.653 0.774

---

La4Te3I after structural relaxation, computed with PBE.

Summary:
- formation energy from raw total energies (eV per atom) = -1.44

Cell lengths 15.030, 15.030, 15.030 Å; angles 17.63, 17.63, 17.63 degrees
Fractional coordinates of all 8 atoms:
La 0.123 0.123 0.123
La 0.376 0.376 0.376
La 0.624 0.624 0.624
La 0.877 0.877 0.877
Te 0.000 0.000 0.000
Te 0.250 0.250 0.250
Te 0.750 0.750 0.750
I 0.500 0.500 0.500

---

LaTeI2 after structural relaxation, computed with PBE.

Summary:
- offset from the most stable computed form (meV/atom) = 0
- formation energy from raw total energies (eV per atom) = -0.98

Cell lengths 8.680, 8.680, 8.680 Å; angles 97.57, 97.57, 137.43 degrees
Fractional coordinates of all 8 atoms:
La 0.000 0.000 0.000
La 0.750 0.250 0.500
Te 0.250 0.750 0.500
Te 0.500 0.500 0.000
I 0.375 0.232 0.357
I 0.768 0.125 0.143
I 0.875 0.018 0.643
I 0.982 0.625 0.857

---

Number 1: energy -4.2222 eV per atom. Number 2: energy -4.1187 eV per atom. Number 3: energy -5.2723 eV per atom. Number 4: energy -3.7768 eV per atom.